No. 1
First-principles (PBEsol) data for crystalline CsCaN2 at its relaxed geometry, as listed in Alexandria.

Cell: 4.7967 4.7967 15.4597 Å, 90.00 90.00 90.00°
Last column: nearest neighbours and their distance in Å.
Space group I4_1/amd (No. 141, origin choice 2)
Unique sites:
Cs1 0.0000 0.2500 0.3750 (multiplicity 4)  8 N 3.31, 4 Ca 3.39
Ca1 0.0000 0.2500 0.8750 (multiplicity 4)  4 N 2.27
N1 0.0000 0.0000 0.0000 (multiplicity 8)  2 Ca 2.27, 2 N 2.40


No. 2
First-principles (PBEsol) data for crystalline CsCaNO2 at its relaxed geometry, as listed in Alexandria.

Cell: 4.5313 4.5313 4.8698 Å, 90.00 90.00 90.00°
Last column: nearest neighbours and their distance in Å.
Space group P4/mmm (No. 123)
Unique sites:
Cs1 0.0000 0.0000 0.0000 (multiplicity 1)  4 N 3.20, 8 O 3.33
Ca1 0.5000 0.5000 0.5000 (multiplicity 1)  4 O 2.27, 2 N 2.43
N1 0.5000 0.5000 0.0000 (multiplicity 1)  2 Ca 2.43
O1 0.0000 0.5000 0.5000 (multiplicity 2)  2 Ca 2.27


No. 3
First-principles (PBEsol) data for crystalline CsNa3Ca at its relaxed geometry, as listed in Alexandria.

Cell: 6.4206 6.4206 6.4206 Å, 90.00 90.00 90.00°
Last column: nearest neighbours and their distance in Å.
Space group Pm-3m (No. 221)
Unique sites:
Cs1 0.0000 0.0000 0.0000 (multiplicity 1)  6 Na 3.21
Na1 0.0000 0.0000 0.5000 (multiplicity 3)  2 Cs 3.21
Ca1 0.5000 0.5000 0.5000 (multiplicity 1)  12 Na 4.54

Calculated values
Energy of formation = 52.8 kJ/mol of atoms


No. 4
First-principles (PBEsol) data for crystalline Cs2CaNb at its relaxed geometry, as listed in Alexandria.

Cell: 9.1325 9.1325 9.1325 Å, 90.00 90.00 90.00°
Last column: nearest neighbours and their distance in Å.
Space group Fm-3m (No. 225)
Unique sites:
Cs1 0.2500 0.2500 0.2500 (multiplicity 8)  4 Nb 3.95, 4 Ca 3.95
Ca1 0.0000 0.0000 0.0000 (multiplicity 4)  8 Cs 3.95
Nb1 0.0000 0.0000 0.5000 (multiplicity 4)  8 Cs 3.95

Calculated values
Energy of formation = 131.4 kJ/mol of atoms


No. 5
First-principles (PBEsol) data for crystalline CsCaO3 at its relaxed geometry, as listed in Alexandria.

Cell: 4.4746 4.4746 4.4746 Å, 90.00 90.00 90.00°
Last column: nearest neighbours and their distance in Å.
Space group Pm-3m (No. 221)
Unique sites:
Cs1 0.0000 0.0000 0.0000 (multiplicity 1)  6 O 2.24
Ca1 0.5000 0.5000 0.5000 (multiplicity 1)  12 O 3.16
O1 0.0000 0.0000 0.5000 (multiplicity 3)  2 Cs 2.24


No. 6
First-principles (PBEsol) data for crystalline CsCa10P7O28 at its relaxed geometry, as listed in Alexandria.

Cell: 10.5601 10.5601 36.9420 Å, 90.00 90.00 120.00°
Last column: nearest neighbours and their distance in Å.
Space group R3c (No. 161, hexagonal axes)
Unique sites:
Cs1 0.0000 0.0000 0.0000 (multiplicity 6)  3 O 2.87
Ca1 0.0000 0.0000 0.3202 (multiplicity 6)  6 O 2.29-2.31
Ca2 0.0591 0.5239 0.4183 (multiplicity 18)  6 O 2.32-2.54
Ca3 0.0756 0.5288 0.3128 (multiplicity 18)  7 O 2.38-2.62
Ca4 0.1806 0.3923 0.0551 (multiplicity 18)  6 O 2.32-2.42
P1 0.0000 0.0000 0.0903 (multiplicity 6)  4 O 1.55-1.56
P2 0.0093 0.4876 0.6216 (multiplicity 18)  4 O 1.54-1.56
P3 0.1544 0.3448 0.8528 (multiplicity 18)  4 O 1.54-1.56
O1 0.0000 0.0000 0.1325 (multiplicity 6)  1 P 1.56
O2 0.0169 0.1478 0.0774 (multiplicity 18)  1 P 1.55
O3 0.0171 0.2762 0.1990 (multiplicity 18)  1 P 1.55
O4 0.0176 0.2397 0.4426 (multiplicity 18)  1 P 1.55
O5 0.0229 0.4758 0.6627 (multiplicity 18)  1 P 1.54
O6 0.0634 0.3900 0.6032 (multiplicity 18)  1 P 1.56
O7 0.0777 0.1806 0.8637 (multiplicity 18)  1 P 1.56
O8 0.1117 0.4212 0.3694 (multiplicity 18)  1 P 1.54
O9 0.1718 0.3675 0.8113 (multiplicity 18)  1 P 1.55
O10 0.1792 0.0870 0.2767 (multiplicity 18)  1 P 1.56


E per entry: -4.3311, -4.7199, -0.9073, -2.3481, -4.2020, -7.4610 eV per atom
Density of states at the Fermi level per entry: 8.3, 2.6, 4.5, 6.2, 2.3, 0.0 states/eV per cell